The following is a PBE-GGA calculation of a relaxed Pr6Sm7Er16 crystal, from the Alexandria database.

Results
The calculation puts the formation energy at 0.232 eV/atom. The value obtained for the electronic total energy is -0.3244 Ry per atom. The space group is Fm-3m (225). The crystal system is cubic. For the calculated volume, the calculation gives 34.4 Å³/atom.

```
29
Lattice="0.000 7.932 7.932 7.932 0.000 7.932 7.932 7.932 0.000" Properties=species:S:1:pos:R:3 pbc="T T T"
Pr 7.932 7.932 3.714
Pr 7.932 3.714 7.932
Pr 12.150 7.932 7.932
Pr 3.714 7.932 7.932
Pr 7.932 12.150 7.932
Pr 7.932 7.932 12.150
Sm 3.966 3.966 0.000
Sm 3.966 0.000 3.966
Sm 7.932 3.966 3.966
Sm 0.000 3.966 3.966
Sm 3.966 7.932 3.966
Sm 3.966 3.966 7.932
Sm 7.932 7.932 7.932
Er 9.984 5.879 5.879
Er 2.389 2.389 2.389
Er 5.543 5.543 2.389
Er 5.543 2.389 5.543
Er 5.879 5.879 5.879
Er 9.984 9.984 5.879
Er 9.984 5.879 9.984
Er 13.475 10.321 10.321
Er 2.389 5.543 5.543
Er 5.879 9.984 5.879
Er 5.879 5.879 9.984
Er 9.984 9.984 9.984
Er 10.321 13.475 10.321
Er 10.321 10.321 13.475
Er 13.475 13.475 13.475
Er 5.879 9.984 9.984
```